{"formula": "NiIrRh2", "functional": "PBEsol", "state": "optimized geometry", "lattice": [[-0.8129, -1.3623, -2.1133], [-0.0883, -3.7336, 2.4408], [-4.2706, 0.8266, 1.1099]], "species": ["Rh", "Rh", "Ni", "Ir"], "frac_coords": [[0.5000, 0.5000, 0.0000], [0.0000, 0.0000, 0.0000], [0.0000, 0.5000, 0.5000], [0.5000, 0.0000, 0.5000]], "vol_a3_per_atom": 13.2, "e_form_ev_per_fu": 1.00, "relative_energy_mev_per_atom": 257.3, "e_tot_ev_per_atom": -7.814}

{"formula": "Ni2IrRu", "functional": "PBEsol", "state": "optimized geometry", "lattice": [[2.6388, 0.0000, 0.0000], [0.0000, 2.6388, 0.0000], [0.0000, 0.0000, 6.9748]], "species": ["Ni", "Ni", "Ir", "Ru"], "frac_coords": [[0.5000, 0.5000, 0.2419], [0.0000, 0.0000, 0.0116], [0.5000, 0.5000, 0.7563], [0.0000, 0.0000, 0.4902]], "vol_a3_per_atom": 12.1, "e_form_ev_per_fu": 0.21, "relative_energy_mev_per_atom": 57.5, "e_tot_ev_per_atom": -8.024}

{"formula": "NiIrRu", "functional": "PBEsol", "state": "optimized geometry", "lattice": [[-1.0023, 1.9855, 1.4742], [-3.1264, -0.1817, -1.8810], [0.6811, -3.4931, 2.7527]], "species": ["Ru", "Ni", "Ir"], "frac_coords": [[0.3321, 0.3321, 0.6642], [0.6675, 0.6675, 0.3350], [0.0004, 0.0004, 0.0008]], "vol_a3_per_atom": 12.6, "e_form_ev_per_fu": -0.05, "relative_energy_mev_per_atom": 0.0, "e_tot_ev_per_atom": -8.736}